Computed, not measured: a geometry-optimized Sm5Dy3Ho3 structure at the PBE level of DFT.

Cell: 11.1570 11.1570 3.4571 Å, 90.00 90.00 120.00°
Fractional coordinates of all 11 atoms:
Sm1 0.0000 0.8389 0.0000
Sm2 0.1611 0.1611 0.0000
Sm3 0.3333 0.6667 0.0000
Sm4 0.6667 0.3333 0.0000
Sm5 0.8389 0.0000 0.0000
Dy1 0.0000 0.5943 0.5000
Dy2 0.4057 0.4057 0.5000
Dy3 0.5943 0.0000 0.5000
Ho1 0.0000 0.3419 0.0000
Ho2 0.3419 0.0000 0.0000
Ho3 0.6581 0.6581 0.0000

- Distance to the lowest polymorph of the same formula: 0.016 eV/atom
- M_tot: 0.00 μB per formula unit
- E_tot: -47.32 eV per cell
- ΔH_f (0 K): 0.347 eV/atom



Computed, not measured: a geometry-optimized SrAcPrY structure at the PBE level of DFT.

Cell: 6.1153 6.1153 6.1153 Å, 60.00 60.00 60.00°
Fractional coordinates of all 4 atoms:
Sr1 0.0000 0.0000 0.0000
Ac1 0.5000 0.5000 0.5000
Pr1 0.7500 0.7500 0.7500
Y1 0.2500 0.2500 0.2500

- M_tot: 0.01 μB per formula unit
- E_tot: -16.25 eV per cell
- ΔH_f (0 K): 0.195 eV/atom



Computed, not measured: a geometry-optimized La5Sm2Th2 structure at the PBE level of DFT.

Cell: 6.3428 6.3646 8.1809 Å, 82.99 74.94 80.14°
Fractional coordinates of all 9 atoms:
La1 0.0000 0.0000 0.0000
La2 0.1161 0.2255 0.5486
La3 0.4517 0.8827 0.2355
La4 0.5483 0.1173 0.7645
La5 0.8839 0.7745 0.4514
Sm1 0.2212 0.4449 0.1092
Sm2 0.7788 0.5551 0.8908
Th1 0.3376 0.6600 0.6655
Th2 0.6624 0.3400 0.3345

- M_tot: 0.00 μB per formula unit
- E_tot: -48.51 eV per cell
- ΔH_f (0 K): 0.045 eV/atom